5
Lattice="-0.8288 4.3529 1.6407 -3.2021 -1.7427 3.0059 3.3742 -0.5847 3.2556" Properties=species:S:1:pos:R:3 comment="TiAgIr3 PBE-GGA relaxed" dos_at_fermi_per_ev_fu=7.55 e_above_lowest_polymorph_mev_per_atom=925.9 magnetic_moment_mub_per_atom=0.00 pbc="T T T"
Ir 1.6871 -0.2923 1.6278
Ir -0.4144 2.1764 0.8203
Ir -1.6011 -0.8713 1.5030
Ag 0.0000 0.0000 0.0000
Ti -0.3283 1.0128 3.9511